AcY4Er4 PBE relaxed; SG = C2/m, No. 12; formation energy = 118 meV per atom; density of states at the Fermi level = 25.0 states/eV/cell; magnetization = 0.00 Bohr magnetons per cell
1.0
3.187 -8.671 0.000
3.187 8.671 0.000
-1.901 0.000 10.761
Ac Y Er
2 8 8
Direct
0.223 0.223 0.275
0.777 0.777 0.725
0.169 0.791 0.334
0.209 0.831 0.666
0.226 0.226 0.613
0.230 0.230 0.943
0.770 0.770 0.057
0.774 0.774 0.387
0.791 0.169 0.334
0.831 0.209 0.666
0.185 0.815 0.000
0.353 0.642 0.840
0.357 0.643 0.500
0.358 0.647 0.160
0.642 0.353 0.840
0.643 0.357 0.500
0.647 0.358 0.160
0.815 0.185 0.000